! K2HgP GGA-PBEsol relaxed; values from VASP
&SYSTEM
  ibrav = 0, nat = 4, ntyp = 3
/
ATOMIC_SPECIES
Hg 200.59 Hg.upf
K 39.10 K.upf
P 30.97 P.upf
ATOMIC_POSITIONS angstrom
Hg 1.1353 2.6450 4.6824
K 2.8794 2.6450 1.9253
P 1.1848 0.0000 2.8746
K 2.7858 0.0000 5.7689
CELL_PARAMETERS angstrom
3.3475 0.0000 0.0799
0.0000 5.2899 0.0000
-0.1534 0.0000 6.0205
! Size of the total moment   0.0 μB per formula unit
! Formation energy   -0.06 eV/atom
! SG   Pm, No. 6
! Crystal system   monoclinic



! KHgP2 GGA-PBEsol relaxed; values from VASP
&SYSTEM
  ibrav = 0, nat = 4, ntyp = 3
/
ATOMIC_SPECIES
Hg 200.59 Hg.upf
P 30.97 P.upf
K 39.10 K.upf
ATOMIC_POSITIONS angstrom
Hg 3.9928 2.3052 3.5576
P 5.9891 3.4578 4.7824
K 0.0000 0.0000 0.0000
P 1.9964 1.1526 2.3328
CELL_PARAMETERS angstrom
3.9928 0.0000 0.0000
1.9964 3.4578 0.0000
1.9964 1.1526 7.1152
! Size of the total moment   0.0 μB per formula unit
! Formation energy   0.33 eV/atom
! SG   R-3m, No. 166
! Crystal system   trigonal



! KHgP2S GGA-PBEsol relaxed; values from VASP
&SYSTEM
  ibrav = 0, nat = 5, ntyp = 4
/
ATOMIC_SPECIES
S 32.06 S.upf
K 39.10 K.upf
P 30.97 P.upf
Hg 200.59 Hg.upf
ATOMIC_POSITIONS angstrom
S 0.0000 0.0000 2.6240
K 2.5018 2.5018 2.6240
P 2.5018 0.0000 0.0000
Hg 0.0000 0.0000 0.0000
P 0.0000 2.5018 0.0000
CELL_PARAMETERS angstrom
5.0036 0.0000 0.0000
0.0000 5.0036 0.0000
0.0000 0.0000 5.2480
! Size of the total moment   1.7 μB per formula unit
! SG   P4/mmm, No. 123
! Raw formation energy   0.62 eV per atom
! Crystal system   tetragonal